[1]
Below is a geometry-optimized LaCe2Cl11 structure, with properties calculated at the PBE level.

Results
The raw total energy is -129.69 eV per cell. The calculated volume comes out at 894.9 Å³ per cell. The calculation puts the magnetic moment at 0.00 μB/atom. As for the symmetry: Ibam, No. 72.

```
LaCe2Cl11
1.0
-5.099 6.405 6.849
5.099 -6.405 6.849
5.099 6.405 -6.849
La Ce Cl
2 4 22
direct
0.250 0.250 0.000
0.750 0.750 0.000
0.182 0.646 0.828
0.318 0.146 0.464
0.682 0.854 0.536
0.818 0.354 0.172
0.000 0.500 0.500
0.038 0.952 0.281
0.066 0.362 0.157
0.171 0.452 0.914
0.205 0.909 0.843
0.216 0.369 0.585
0.284 0.869 0.152
0.295 0.138 0.704
0.329 0.243 0.281
0.434 0.591 0.296
0.462 0.743 0.914
0.500 0.000 0.500
0.538 0.257 0.086
0.566 0.409 0.704
0.671 0.757 0.719
0.705 0.862 0.296
0.716 0.131 0.848
0.784 0.631 0.415
0.795 0.091 0.157
0.829 0.548 0.086
0.934 0.638 0.843
0.962 0.048 0.719
```

[2]
Below is a geometry-optimized La2CeN2Cl2 structure, with properties calculated at the PBE level.

Results
The raw total energy is -46.66 eV per cell. The calculated volume comes out at 159.0 Å³ per cell. The calculation puts the magnetic moment at 0.25 μB/atom. As for the symmetry: I4/mmm, No. 139.

```
La2CeN2Cl2
1.0
-2.282 2.282 7.631
2.282 -2.282 7.631
2.282 2.282 -7.631
La Ce N Cl
2 1 2 2
direct
0.102 0.102 0.000
0.898 0.898 0.000
0.500 0.500 0.000
0.000 0.500 0.500
0.500 0.000 0.500
0.309 0.309 0.000
0.691 0.691 0.000
```

[3]
Below is a geometry-optimized LaCeOsCl structure, with properties calculated at the PBE level.

Results
The raw total energy is -27.45 eV per cell. The calculated volume comes out at 109.9 Å³ per cell. The calculation puts the magnetic moment at 0.08 μB/atom. As for the symmetry: R3m, No. 160.

```
LaCeOsCl
1.0
2.026 1.170 7.727
-2.026 1.170 7.727
0.000 -2.340 7.727
La Ce Os Cl
1 1 1 1
direct
0.000 0.000 0.000
0.801 0.801 0.801
0.407 0.407 0.407
0.231 0.231 0.231
```

[4]
Below is a geometry-optimized LaCeRuCl structure, with properties calculated at the PBE level.

Results
The raw total energy is -25.85 eV per cell. The calculated volume comes out at 107.4 Å³ per cell. The calculation puts the magnetic moment at 0.10 μB/atom. As for the symmetry: R3m, No. 160.

```
LaCeRuCl
1.0
1.995 1.152 7.788
-1.995 1.152 7.788
0.000 -2.304 7.788
La Ce Ru Cl
1 1 1 1
direct
0.000 0.000 0.000
0.198 0.198 0.198
0.590 0.590 0.590
0.766 0.766 0.766
```

[5]
Below is a geometry-optimized LaCeSbCl structure, with properties calculated at the PBE level.

Results
The raw total energy is -21.63 eV per cell. The calculated volume comes out at 110.8 Å³ per cell. The calculation puts the magnetic moment at 0.54 μB/atom. As for the symmetry: F-43m, No. 216.

```
LaCeSbCl
1.0
0.000 3.812 3.812
3.812 0.000 3.812
3.812 3.812 0.000
La Ce Sb Cl
1 1 1 1
direct
0.000 0.000 0.000
0.500 0.500 0.500
0.250 0.250 0.250
0.750 0.750 0.750
```

[6]
Below is a geometry-optimized La4Ce2Sn3Cl2 structure, with properties calculated at the PBE level.

Results
The raw total energy is -55.88 eV per cell. The calculated volume comes out at 366.2 Å³ per cell. The calculation puts the magnetic moment at 0.37 μB/atom. As for the symmetry: I4/mmm, No. 139.

```
La4Ce2Sn3Cl2
1.0
-2.725 2.725 12.330
2.725 -2.725 12.330
2.725 2.725 -12.330
La Ce Sn Cl
4 2 3 2
direct
0.087 0.587 0.500
0.413 0.913 0.500
0.587 0.087 0.500
0.913 0.413 0.500
0.200 0.200 0.000
0.800 0.800 0.000
0.329 0.329 0.000
0.500 0.500 0.000
0.671 0.671 0.000
0.074 0.074 0.000
0.926 0.926 0.000
```